A:
DFT (GGA-PBE) results for a relaxed structure of RbTl3Zn.

Properties
Magnetic moment   0.000 μB per atom

a = 4.328 Å, b = 9.238 Å, c = 9.238 Å
α = 117.44°, β = 90.00°, γ = 90.00°
Positions (direct):
Zn 0.500 0.695 0.695
Zn 0.500 0.305 0.305
Rb 0.500 0.717 0.283
Rb 0.500 0.283 0.717
Tl 0.000 0.500 0.500
Tl 0.000 0.685 0.925
Tl 0.000 0.925 0.685
Tl 0.500 0.000 0.000
Tl 0.000 0.075 0.315
Tl 0.000 0.315 0.075

B:
DFT (GGA-PBE) results for a relaxed structure of RbTl3Zn.

Properties
Magnetic moment   0.001 μB per atom

a = 6.662 Å, b = 6.662 Å, c = 6.662 Å
α = 90.00°, β = 90.00°, γ = 90.00°
Positions (direct):
Tl 0.500 0.000 0.000
Tl 0.000 0.000 0.500
Tl 0.000 0.500 0.000
Zn 0.500 0.500 0.500
Rb 0.000 0.000 0.000

C:
DFT (GGA-PBE) results for a relaxed structure of RbTl3Zn.

Properties
Magnetic moment   0.000 μB per atom

a = 5.595 Å, b = 5.595 Å, c = 5.595 Å
α = 90.00°, β = 90.00°, γ = 90.00°
Positions (direct):
Zn 0.000 0.000 0.000
Rb 0.500 0.500 0.500
Tl 0.000 0.500 0.000
Tl 0.000 0.000 0.500
Tl 0.500 0.000 0.000

Most stable structure, least stable structure: A, B.

A:
DFT (GGA-PBE) results for a relaxed structure of RbTl2Zn.

Properties
Magnetic moment   0.000 μB per atom

a = 5.647 Å, b = 5.647 Å, c = 5.647 Å
α = 60.00°, β = 60.00°, γ = 60.00°
Positions (direct):
Zn 0.000 0.000 0.000
Rb 0.500 0.500 0.500
Tl 0.750 0.750 0.750
Tl 0.250 0.250 0.250

B:
DFT (GGA-PBE) results for a relaxed structure of RbTl2Zn.

Properties
Magnetic moment   0.000 μB per atom

a = 4.792 Å, b = 4.792 Å, c = 7.698 Å
α = 71.87°, β = 71.87°, γ = 60.00°
Positions (direct):
Rb 0.498 0.498 0.507
Tl 0.046 0.046 0.863
Tl 0.284 0.284 0.147
Zn 0.672 0.672 0.983

Most stable structure, least stable structure: B, A.

A:
DFT (GGA-PBE) results for a relaxed structure of Rb2TlZn.

Properties
Magnetic moment   0.000 μB per atom

a = 4.950 Å, b = 7.046 Å, c = 7.046 Å
α = 58.99°, β = 68.34°, γ = 68.34°
Positions (direct):
Tl 0.250 0.166 0.334
Rb 0.066 0.851 0.021
Rb 0.434 0.479 0.649
Zn 0.750 0.004 0.496

B:
DFT (GGA-PBE) results for a relaxed structure of Rb2TlZn.

Properties
Magnetic moment   0.002 μB per atom

a = 6.269 Å, b = 6.269 Å, c = 6.269 Å
α = 60.00°, β = 60.00°, γ = 60.00°
Positions (direct):
Rb 0.250 0.250 0.250
Rb 0.750 0.750 0.750
Zn 0.000 0.000 0.000
Tl 0.500 0.500 0.500

Most stable structure, least stable structure: A, B.

A:
DFT (GGA-PBE) results for a relaxed structure of RbZr3Tl.

Properties
Magnetic moment   0.398 μB per atom

a = 5.093 Å, b = 5.093 Å, c = 5.093 Å
α = 90.00°, β = 90.00°, γ = 90.00°
Last column: magnetic moment on the atom in μB.
Positions (direct):
Zr 0.000 0.500 0.000  0.43
Zr 0.000 0.000 0.500  0.46
Zr 0.500 0.000 0.000  0.41
Tl 0.500 0.500 0.500  0.00
Rb 0.000 0.000 0.000  0.12

B:
DFT (GGA-PBE) results for a relaxed structure of RbZr3Tl.

Properties
Magnetic moment   0.707 μB per atom

a = 5.589 Å, b = 5.589 Å, c = 5.589 Å
α = 90.00°, β = 90.00°, γ = 90.00°
Last column: magnetic moment on the atom in μB.
Positions (direct):
Zr 0.000 0.500 0.000  0.61
Zr 0.000 0.000 0.500  0.67
Zr 0.500 0.000 0.000  0.65
Tl 0.000 0.000 0.000  0.04
Rb 0.500 0.500 0.500  0.04

Most stable structure, least stable structure: B, A.

A:
DFT (GGA-PBE) results for a relaxed structure of RbZr2Tl.

Properties
Magnetic moment   0.000 μB per atom

a = 4.564 Å, b = 4.564 Å, c = 11.802 Å
α = 78.85°, β = 78.85°, γ = 90.00°
Positions (direct):
Rb 0.250 0.750 0.500
Rb 0.500 0.500 0.000
Zr 0.663 0.125 0.250
Zr 0.875 0.913 0.750
Zr 0.087 0.625 0.250
Zr 0.375 0.337 0.750
Tl 0.000 0.000 0.000
Tl 0.750 0.250 0.500

B:
DFT (GGA-PBE) results for a relaxed structure of RbZr2Tl.

Properties
Magnetic moment   0.000 μB per atom

a = 5.254 Å, b = 5.254 Å, c = 5.254 Å
α = 60.00°, β = 60.00°, γ = 60.00°
Positions (direct):
Tl 0.500 0.500 0.500
Zr 0.250 0.250 0.250
Zr 0.750 0.750 0.750
Rb 0.000 0.000 0.000

Most stable structure, least stable structure: B, A.

A:
DFT (GGA-PBE) results for a relaxed structure of RbVW2.

Properties
Magnetic moment   0.078 μB per atom

a = 4.962 Å, b = 4.962 Å, c = 9.413 Å
α = 74.72°, β = 74.72°, γ = 90.00°
Last column: magnetic moment on the atom in μB.
Positions (direct):
V 0.500 0.500 0.000  1.01
V 0.250 0.750 0.500  1.01
Rb 0.750 0.250 0.500  0.00
Rb 0.000 0.000 0.000  0.00
W 0.440 0.625 0.250  -0.35
W 0.875 0.560 0.750  -0.35
W 0.310 0.125 0.250  -0.35
W 0.375 0.690 0.750  -0.35

B:
DFT (GGA-PBE) results for a relaxed structure of RbVW2.

Properties
Magnetic moment   0.000 μB per atom

a = 4.671 Å, b = 4.671 Å, c = 4.671 Å
α = 60.00°, β = 60.00°, γ = 60.00°
Positions (direct):
W 0.750 0.750 0.750
W 0.250 0.250 0.250
V 0.000 0.000 0.000
Rb 0.500 0.500 0.500

Most stable structure, least stable structure: B, A.